Entry from Alexandria: an optimized crystal structure of NdTmAlRu (PBE).

Lattice parameters (Å, degrees): 5.009 5.009 5.009 60.00 60.00 60.00
Fractional coordinates of all 4 atoms:
1 Nd 0.000 0.000 0.000
2 Tm 0.500 0.500 0.500
3 Al 0.250 0.250 0.250
4 Ru 0.750 0.750 0.750

Output
* energy of formation: -1.11 eV per formula unit
* SG: No. 216

Entry from Alexandria: an optimized crystal structure of CaAc2Zn3Ag4 (PBE).

Lattice parameters (Å, degrees): 4.458 4.458 12.377 90.00 90.00 90.00
Fractional coordinates of all 10 atoms:
1 Ca 0.000 0.000 0.000
2 Ac 0.000 0.500 0.722
3 Ac 0.500 0.000 0.278
4 Zn 0.000 0.500 0.378
5 Zn 0.500 0.000 0.622
6 Zn 0.500 0.500 0.000
7 Ag 0.000 0.000 0.500
8 Ag 0.000 0.500 0.161
9 Ag 0.500 0.000 0.839
10 Ag 0.500 0.500 0.500

Output
* energy of formation: -2.40 eV per formula unit
* SG: No. 115

> Look up the energy of formation of the second one.

-2.40 eV per formula unit

> What is the energy of formation in the second record?

-2.40 eV per formula unit

> Which of these has the lowest energy of formation?

CaAc2Zn3Ag4

> Look up the energy of formation of the first one.

-1.11 eV per formula unit